# 1
First-principles (PBE-GGA) data for an optimized crystal structure of K2Sn3Pb5, as listed in Alexandria.

Values from the calculation:
SG: P-4m2, No. 115
total energy: -33.68 eV/f.u.

Cell: 5.119 5.119 13.904 Å, 90.00 90.00 90.00°
Positions (direct):
K: 0.000 0.500 0.241
K: 0.500 0.000 0.759
Sn: 0.000 0.000 0.000
Sn: 0.000 0.500 0.871
Sn: 0.500 0.000 0.129
Pb: 0.000 0.000 0.500
Pb: 0.000 0.500 0.646
Pb: 0.500 0.000 0.354
Pb: 0.500 0.500 0.000
Pb: 0.500 0.500 0.500

---

# 2
First-principles (PBE-GGA) data for an optimized crystal structure of K2Sn2Pb, as listed in Alexandria.

Values from the calculation:
relative energy among the computed polymorphs: 22.3 kJ per mole of atoms
SG: P4/mbm, No. 127

Cell: 10.510 10.510 3.310 Å, 90.00 90.00 90.00°
Positions (direct):
K: 0.199 0.301 0.000
K: 0.301 0.801 0.000
K: 0.699 0.199 0.000
K: 0.801 0.699 0.000
Sn: 0.096 0.596 0.500
Sn: 0.404 0.096 0.500
Sn: 0.596 0.904 0.500
Sn: 0.904 0.404 0.500
Pb: 0.000 0.000 0.000
Pb: 0.500 0.500 0.000

---

# 3
First-principles (PBE-GGA) data for an optimized crystal structure of KSnPb2, as listed in Alexandria.

Values from the calculation:
SG: R3m, No. 160
total energy: -12.61 eV/f.u.

Cell: 6.996 6.996 6.996 Å, 44.53 44.53 44.53°
Positions (direct):
K: 0.000 0.000 0.000
Sn: 0.195 0.195 0.195
Pb: 0.552 0.552 0.552
Pb: 0.791 0.791 0.791

---

# 4
First-principles (PBE-GGA) data for an optimized crystal structure of K3SnPb4, as listed in Alexandria.

Values from the calculation:
SG: Imm2, No. 44
total energy: -23.11 eV/f.u.

Cell: 7.711 7.711 7.711 Å, 129.30 108.96 92.39°
Positions (direct):
K: 0.000 0.000 0.000
K: 0.411 0.627 0.784
K: 0.843 0.627 0.216
Sn: 0.570 0.070 0.500
Pb: 0.331 0.085 0.754
Pb: 0.331 0.577 0.246
Pb: 0.626 0.310 0.316
Pb: 0.993 0.310 0.684